No. 1
DFT (PBE-GGA) results for a geometry-optimized Rb2HfAgS4 structure.

a b c (Å): 3.797 8.052 7.523
angles (deg): 66.96 90.00 90.00
Fractional coordinates of all 8 atoms:
S 0.500 0.709 0.316
S 0.000 0.357 0.238
S 0.500 0.291 0.684
S 0.000 0.643 0.762
Ag 0.500 0.500 0.000
Rb 0.500 0.000 0.500
Rb 0.000 0.000 0.000
Hf 0.000 0.500 0.500

As for the space group: P2/m.


No. 2
DFT (PBE-GGA) results for a geometry-optimized Li2CdSb structure.

a b c (Å): 3.245 3.245 9.561
angles (deg): 80.26 80.26 59.62
Fractional coordinates of all 4 atoms:
Sb 0.666 0.666 0.000
Li 0.252 0.252 0.245
Li 0.082 0.082 0.755
Cd 0.500 0.500 0.500

As for the space group: Cm. The value obtained for the offset from the most stable computed form is 147 meV/atom.


No. 3
DFT (PBE-GGA) results for a geometry-optimized DyThZn17 structure.

a b c (Å): 6.817 6.817 6.817
angles (deg): 82.83 82.83 82.83
Fractional coordinates of all 19 atoms:
Zn 0.351 0.351 0.841
Zn 0.647 0.647 0.163
Zn 0.002 0.294 0.704
Zn 0.704 0.002 0.294
Zn 0.841 0.351 0.351
Zn 0.647 0.163 0.647
Zn 0.999 0.999 0.501
Zn 0.351 0.841 0.351
Zn 0.999 0.501 0.999
Zn 0.501 0.999 0.999
Zn 0.163 0.647 0.647
Zn 0.294 0.704 0.002
Zn 0.704 0.294 0.002
Zn 0.294 0.002 0.704
Zn 0.100 0.100 0.100
Zn 0.002 0.704 0.294
Zn 0.902 0.902 0.902
Dy 0.336 0.336 0.336
Th 0.664 0.664 0.664

As for the space group: R3m. The value obtained for the formation enthalpy at 0 K is -220 meV/atom.


No. 4
DFT (PBE-GGA) results for a geometry-optimized MnGe2Ir structure.

a b c (Å): 3.927 6.055 6.029
angles (deg): 70.14 71.52 71.30
Last column: magnetic moment on the atom in μB.
Fractional coordinates of all 8 atoms:
Ge 0.965 0.855 0.706  -0.04
Ge 0.035 0.145 0.294  -0.04
Ge 0.759 0.701 0.297  -0.04
Ge 0.241 0.299 0.703  -0.04
Mn 0.694 0.111 0.003  0.98
Mn 0.306 0.889 0.997  0.98
Ir 0.417 0.433 0.246  -0.01
Ir 0.583 0.567 0.754  -0.01

As for the space group: P-1. The value obtained for the formation enthalpy at 0 K is -153 meV/atom.


No. 5
DFT (PBE-GGA) results for a geometry-optimized CsTmTlO3 structure.

a b c (Å): 3.527 11.957 7.507
angles (deg): 115.70 90.00 90.00
Fractional coordinates of all 12 atoms:
O 0.750 0.223 0.515
O 0.750 0.507 0.166
O 0.250 0.262 0.873
O 0.750 0.738 0.127
O 0.250 0.493 0.834
O 0.250 0.777 0.485
Cs 0.250 0.324 0.285
Cs 0.750 0.676 0.715
Tl 0.750 0.881 0.434
Tl 0.250 0.119 0.566
Tm 0.750 0.377 0.847
Tm 0.250 0.623 0.153

As for the space group: P2_1/m.


No. 6
DFT (PBE-GGA) results for a geometry-optimized LiNdSn3 structure.

a b c (Å): 6.243 6.279 13.249
angles (deg): 90.00 90.00 89.99
Fractional coordinates of all 20 atoms:
Li 0.250 0.000 0.106
Li 0.750 0.500 0.894
Li 0.750 0.000 0.894
Li 0.250 0.500 0.106
Nd 0.503 0.250 0.690
Nd 0.497 0.750 0.310
Nd 0.003 0.250 0.310
Nd 0.997 0.750 0.690
Sn 0.250 0.000 0.502
Sn 0.998 0.250 0.740
Sn 0.815 0.250 0.080
Sn 0.250 0.500 0.502
Sn 0.750 0.500 0.498
Sn 0.502 0.750 0.740
Sn 0.185 0.750 0.920
Sn 0.498 0.250 0.260
Sn 0.002 0.750 0.260
Sn 0.750 0.000 0.498
Sn 0.315 0.250 0.920
Sn 0.685 0.750 0.080

As for the space group: Pbcm. The value obtained for the formation enthalpy at 0 K is -417 meV/atom.


No. 7
DFT (PBE-GGA) results for a geometry-optimized LiGe2Br5 structure.

a b c (Å): 9.197 11.417 12.793
angles (deg): 67.59 68.93 66.25
Fractional coordinates of all 32 atoms:
Li 0.678 0.567 0.828
Li 0.073 0.933 0.672
Li 0.322 0.433 0.172
Li 0.927 0.067 0.328
Br 0.685 0.871 0.078
Br 0.742 0.931 0.485
Br 0.541 0.416 0.818
Br 0.166 0.684 0.686
Br 0.834 0.316 0.314
Br 0.225 0.916 0.318
Br 0.634 0.629 0.422
Br 0.366 0.371 0.578
Br 0.315 0.129 0.922
Br 0.775 0.084 0.682
Br 0.089 0.499 0.348
Br 0.464 0.184 0.186
Br 0.911 0.501 0.652
Br 0.936 0.001 0.152
Br 0.843 0.431 0.985
Br 0.536 0.816 0.814
Br 0.064 0.999 0.848
Br 0.459 0.584 0.182
Br 0.157 0.569 0.015
Br 0.258 0.069 0.515
Ge 0.255 0.920 0.986
Ge 0.449 0.958 0.356
Ge 0.840 0.420 0.486
Ge 0.551 0.042 0.644
Ge 0.237 0.458 0.856
Ge 0.745 0.080 0.014
Ge 0.160 0.580 0.514
Ge 0.763 0.542 0.144

As for the space group: C2/c.


No. 8
DFT (PBE-GGA) results for a geometry-optimized In12Sb3Br5 structure.

a b c (Å): 16.071 16.071 16.071
angles (deg): 109.47 109.47 109.47
Fractional coordinates of all 80 atoms:
Br 0.500 0.000 0.500
Br 0.750 0.625 0.375
Br 0.500 0.500 0.500
Br 0.500 0.000 0.000
Br 0.375 0.125 0.750
Br 0.625 0.750 0.875
Br 0.000 0.000 0.500
Br 0.875 0.625 0.750
Br 0.000 0.500 0.000
Br 0.000 0.500 0.500
Br 0.125 0.375 0.250
Br 0.375 0.250 0.125
Br 0.000 0.000 0.000
Br 0.500 0.500 0.000
Br 0.750 0.125 0.875
Br 0.125 0.750 0.375
Br 0.625 0.875 0.250
Br 0.250 0.375 0.625
Br 0.250 0.875 0.125
Br 0.875 0.250 0.625
In 0.576 0.726 0.662
In 0.726 0.576 0.162
In 0.065 0.414 0.838
In 0.849 0.576 0.914
In 0.065 0.651 0.726
In 0.274 0.424 0.838
In 0.774 0.435 0.349
In 0.924 0.838 0.774
In 0.424 0.274 0.338
In 0.586 0.935 0.662
In 0.226 0.565 0.651
In 0.226 0.662 0.076
In 0.349 0.935 0.774
In 0.424 0.151 0.586
In 0.086 0.162 0.435
In 0.662 0.435 0.586
In 0.086 0.924 0.151
In 0.435 0.774 0.849
In 0.565 0.226 0.151
In 0.151 0.726 0.565
In 0.414 0.065 0.338
In 0.162 0.076 0.726
In 0.914 0.076 0.849
In 0.151 0.424 0.086
In 0.651 0.586 0.924
In 0.935 0.349 0.274
In 0.338 0.774 0.424
In 0.924 0.086 0.651
In 0.651 0.065 0.226
In 0.274 0.849 0.935
In 0.935 0.586 0.162
In 0.565 0.338 0.914
In 0.576 0.849 0.414
In 0.838 0.924 0.274
In 0.162 0.086 0.935
In 0.414 0.349 0.576
In 0.076 0.914 0.349
In 0.586 0.651 0.424
In 0.349 0.414 0.076
In 0.838 0.914 0.065
In 0.914 0.838 0.565
In 0.435 0.662 0.086
In 0.849 0.274 0.435
In 0.774 0.338 0.924
In 0.662 0.226 0.576
In 0.338 0.565 0.414
In 0.726 0.151 0.065
In 0.076 0.162 0.226
Sb 0.875 0.750 0.125
Sb 0.750 0.875 0.625
Sb 0.375 0.750 0.625
Sb 0.625 0.250 0.375
Sb 0.625 0.375 0.750
Sb 0.250 0.125 0.375
Sb 0.125 0.250 0.875
Sb 0.375 0.625 0.250
Sb 0.250 0.625 0.875
Sb 0.750 0.375 0.125
Sb 0.125 0.875 0.750
Sb 0.875 0.125 0.250

As for the space group: Ia-3d.


No. 9
DFT (PBE-GGA) results for a geometry-optimized LaTbTe3 structure.

a b c (Å): 4.496 8.356 17.448
angles (deg): 90.00 90.00 90.00
Fractional coordinates of all 20 atoms:
Tb 0.250 0.271 0.958
Tb 0.750 0.229 0.458
Tb 0.250 0.771 0.542
Tb 0.750 0.729 0.042
Te 0.250 0.506 0.106
Te 0.250 0.155 0.784
Te 0.750 0.120 0.062
Te 0.750 0.994 0.606
Te 0.750 0.845 0.216
Te 0.750 0.620 0.438
Te 0.750 0.345 0.284
Te 0.250 0.655 0.716
Te 0.250 0.380 0.562
Te 0.250 0.880 0.938
Te 0.250 0.006 0.394
Te 0.750 0.494 0.894
La 0.250 0.135 0.200
La 0.750 0.865 0.800
La 0.250 0.635 0.300
La 0.750 0.365 0.700

As for the space group: Pnma. The value obtained for the offset from the most stable computed form is 0 meV/atom.


No. 10
DFT (PBE-GGA) results for a geometry-optimized ThZn4Ga2 structure.

a b c (Å): 4.148 4.175 7.584
angles (deg): 105.98 90.00 90.00
Fractional coordinates of all 7 atoms:
Zn 0.000 0.309 0.618
Zn 0.000 0.691 0.382
Zn 0.500 0.814 0.629
Zn 0.500 0.186 0.371
Ga 0.500 0.414 0.829
Ga 0.500 0.586 0.171
Th 0.000 0.000 0.000

As for the space group: Cmmm. The value obtained for the formation enthalpy at 0 K is -271 meV/atom.


No. 11
DFT (PBE-GGA) results for a geometry-optimized La6Zn5Pt structure.

a b c (Å): 5.299 7.468 8.389
angles (deg): 90.00 71.59 90.00
Fractional coordinates of all 12 atoms:
Pt 0.000 0.000 0.000
La 0.839 0.752 0.323
La 0.161 0.248 0.677
La 0.839 0.248 0.323
La 0.161 0.752 0.677
La 0.500 0.760 0.000
La 0.500 0.240 0.000
Zn 0.678 0.000 0.645
Zn 0.322 0.000 0.355
Zn 0.000 0.500 0.000
Zn 0.329 0.500 0.343
Zn 0.671 0.500 0.657

As for the space group: Cmmm. The value obtained for the formation enthalpy at 0 K is -443 meV/atom.


No. 12
DFT (PBE-GGA) results for a geometry-optimized Na2CoTe structure.

a b c (Å): 4.094 4.094 11.042
angles (deg): 79.32 79.32 90.00
Last column: magnetic moment on the atom in μB.
Fractional coordinates of all 8 atoms:
Na 0.875 0.867 0.750  -0.02
Na 0.375 0.383 0.750  -0.02
Na 0.617 0.125 0.250  -0.02
Na 0.133 0.625 0.250  -0.02
Co 0.250 0.750 0.500  1.44
Co 0.500 0.500 0.000  1.44
Te 0.750 0.250 0.500  0.00
Te 0.000 0.000 0.000  0.00

As for the space group: I-42d.


Computed uncorrected energy (eV per cell) in order:
-39.4 -9.9 -37.9 -55.8 -69.0 -83.1 -102.3 -222.9 -106.1 -20.5 -47.3 -23.6